(1)
Material: MgZn2SnIr4
Method: DFT, GGA-PBE
State: relaxed

* total magnetization: 0.00 μB/atom
* total energy: -5.678 eV per atom

Lattice parameters (Å, degrees): 4.4002 4.4002 6.2074 90.00 90.00 90.00
Last column: nearest neighbours and their distance in Å.
Fractional positions:
Mg  0.0000  0.0000  0.0000  8 Ir 2.69
Zn  0.0000  0.0000  0.5000  8 Ir 2.70
Zn  0.5000  0.5000  0.0000  8 Ir 2.69
Sn  0.5000  0.5000  0.5000  8 Ir 2.70
Ir  0.0000  0.5000  0.2486  2 Mg 2.69, 4 Zn 2.69-2.70, 2 Sn 2.70
Ir  0.0000  0.5000  0.7514  2 Mg 2.69, 4 Zn 2.69-2.70, 2 Sn 2.70
Ir  0.5000  0.0000  0.2486  2 Mg 2.69, 4 Zn 2.69-2.70, 2 Sn 2.70
Ir  0.5000  0.0000  0.7514  2 Mg 2.69, 4 Zn 2.69-2.70, 2 Sn 2.70

***

(2)
Material: Y3Sc3Te2Os
Method: DFT, GGA-PBE
State: relaxed

* ΔE to the lowest computed polymorph: 0 meV/atom
* total magnetization: 0.00 μB/atom

Lattice parameters (Å, degrees): 7.9394 7.9394 4.0187 90.00 90.00 120.00
Last column: nearest neighbours and their distance in Å.
Fractional positions:
Y  0.0000  0.6094  0.0000  1 Os 3.10, 4 Te 3.17, 4 Sc 3.37
Y  0.3906  0.3906  0.0000  1 Os 3.10, 4 Te 3.17, 4 Sc 3.37
Y  0.6094  0.0000  0.0000  1 Os 3.10, 4 Te 3.17, 4 Sc 3.37
Sc  0.0000  0.2311  0.5000  2 Os 2.72
Sc  0.2311  0.0000  0.5000  2 Os 2.72
Sc  0.7689  0.7689  0.5000  2 Os 2.72
Te  0.3333  0.6667  0.5000  3 Sc 3.13, 6 Y 3.17
Te  0.6667  0.3333  0.5000  3 Sc 3.13, 6 Y 3.17
Os  0.0000  0.0000  0.0000  6 Sc 2.72

***

(3)
Material: YGaRe2
Method: DFT, GGA-PBE
State: relaxed

* total magnetization: 0.00 μB/atom
* total energy: -8.337 eV per atom

Lattice parameters (Å, degrees): 4.6031 4.6031 4.6031 60.00 60.00 60.00
Last column: nearest neighbours and their distance in Å.
Fractional positions:
Y  0.0000  0.0000  0.0000  4 Ga 2.82, 4 Re 2.82
Ga  0.7500  0.7500  0.7500  4 Re 2.82, 4 Y 2.82
Re  0.2500  0.2500  0.2500  4 Re 2.82, 4 Y 2.82
Re  0.5000  0.5000  0.5000  4 Re 2.82, 4 Ga 2.82